AlSbAs2 | PBE | relaxed

Unit cell a=6.2278 b=6.2278 c=11.8064 alpha=90.00 beta=90.00 gamma=90.00
With the nearest neighbours (Å) after each atom.
Sites, in units of the cell vectors:
Al (0.0000, 0.0000, 0.0000)  4 As 2.48
Al (0.0000, 0.5000, 0.2500)  4 As 2.48
Al (0.5000, 0.0000, 0.7500)  4 As 2.48
Al (0.5000, 0.5000, 0.5000)  4 As 2.48
Sb (0.0000, 0.0000, 0.5000)  4 As 2.84
Sb (0.0000, 0.5000, 0.7500)  4 As 2.84
Sb (0.5000, 0.0000, 0.2500)  4 As 2.84
Sb (0.5000, 0.5000, 0.0000)  4 As 2.84
As (0.2010, 0.2500, 0.1250)  2 Al 2.48
As (0.2500, 0.7010, 0.3750)  2 Al 2.48
As (0.2500, 0.7990, 0.8750)  2 Al 2.48
As (0.2990, 0.2500, 0.6250)  2 Al 2.48
As (0.7010, 0.7500, 0.6250)  2 Al 2.48
As (0.7500, 0.2010, 0.8750)  2 Al 2.48
As (0.7500, 0.2990, 0.3750)  2 Al 2.48
As (0.7990, 0.7500, 0.1250)  2 Al 2.48

Values from the calculation:
As for the uncorrected formation energy: 0.01 eV per atom. For the density of states at the Fermi level, the calculation gives 3.65 states/eV/cell. The energy is -4.279 eV/atom. The distance to the lowest polymorph of the same formula is 0.26 eV per formula unit. The space group is No. 122.

***

AlSb2As | PBE | relaxed

Unit cell a=4.0658 b=4.0658 c=6.1045 alpha=90.00 beta=90.00 gamma=90.00
With the nearest neighbours (Å) after each atom.
Sites, in units of the cell vectors:
Al (0.0000, 0.0000, 0.0000)  5 Sb 2.84-2.89
Sb (0.0000, 0.0000, 0.5344)  1 Al 2.84, 4 As 2.89
Sb (0.5000, 0.5000, 0.0438)  1 As 2.67, 4 Al 2.89
As (0.5000, 0.5000, 0.4812)  5 Sb 2.67-2.89

Values from the calculation:
As for the uncorrected formation energy: 0.04 eV per atom. For the density of states at the Fermi level, the calculation gives 1.68 states/eV/cell. The energy is -4.118 eV/atom. The distance to the lowest polymorph of the same formula is 0.12 eV per formula unit. The space group is No. 99.